VASP calculation (PBE) on an optimized crystal structure of ZrZnPb2.

CIF file:
```
data_ZrZnPb2
_symmetry_space_group_name_H-M 'P 4/m m m'
_symmetry_Int_Tables_number 123
_symmetry_space_group_name_Hall '-P 4 2'
_cell_length_a 3.220
_cell_length_b 3.220
_cell_length_c 9.725
_cell_angle_alpha 90.00
_cell_angle_beta 90.00
_cell_angle_gamma 90.00
loop_
_atom_site_label
_atom_site_type_symbol
_atom_site_fract_x
_atom_site_fract_y
_atom_site_fract_z
_atom_site_occupancy
Zr1 Zr 0.000 0.000 0.000 1
Zn1 Zn 0.000 0.000 0.500 1
Pb1 Pb 0.500 0.500 0.244 1
```


VASP calculation (PBE) on an optimized crystal structure of ZrZnPb.

CIF file:
```
data_ZrZnPb
_symmetry_space_group_name_H-M 'P 3 m 1'
_symmetry_Int_Tables_number 156
_symmetry_space_group_name_Hall 'P 3 -2"'
_cell_length_a 4.3867
_cell_length_b 4.3867
_cell_length_c 3.9829
_cell_angle_alpha 90.00
_cell_angle_beta 90.00
_cell_angle_gamma 120.00
loop_
_atom_site_label
_atom_site_type_symbol
_atom_site_fract_x
_atom_site_fract_y
_atom_site_fract_z
_atom_site_occupancy
Zr1 Zr 0.0000 0.0000 0.0000 1
Zn1 Zn 0.3333 0.6667 0.7072 1
Pb1 Pb 0.6667 0.3333 0.4430 1
```


VASP calculation (PBE) on an optimized crystal structure of Zr2ZnPb.

CIF file:
```
data_Zr2ZnPb
_symmetry_space_group_name_H-M 'C 1 2/m 1'
_symmetry_Int_Tables_number 12
_symmetry_space_group_name_Hall '-C 2y'
_cell_length_a 10.252
_cell_length_b 3.402
_cell_length_c 5.314
_cell_angle_alpha 90.00
_cell_angle_beta 107.38
_cell_angle_gamma 90.00
loop_
_atom_site_label
_atom_site_type_symbol
_atom_site_fract_x
_atom_site_fract_y
_atom_site_fract_z
_atom_site_occupancy
Zr1 Zr 0.244 0.000 0.236 1
Zn1 Zn 0.000 0.500 0.000 1
Pb1 Pb 0.000 0.000 0.500 1
```


VASP calculation (PBE) on an optimized crystal structure of ZrZnPb.

CIF file:
```
data_ZrZnPb
_symmetry_space_group_name_H-M 'I 4 m m'
_symmetry_Int_Tables_number 107
_symmetry_space_group_name_Hall 'I 4 -2'
_cell_length_a 3.408
_cell_length_b 3.408
_cell_length_c 11.382
_cell_angle_alpha 90.00
_cell_angle_beta 90.00
_cell_angle_gamma 90.00
loop_
_atom_site_label
_atom_site_type_symbol
_atom_site_fract_x
_atom_site_fract_y
_atom_site_fract_z
_atom_site_occupancy
Zr1 Zr 0.000 0.000 0.000 1
Zn1 Zn 0.000 0.000 0.636 1
Pb1 Pb 0.000 0.000 0.302 1
```


ΔE_f readings, ordered: 0.13, -0.01, -0.06, -0.03 eV per atom
Size of the total moment readings, ordered: 0.00, 0.00, 0.00, 0.00 μB per cell